## Al3Tc (GGA-PBE)

Data for crystalline Al3Tc at its relaxed geometry.

Results
**VASP energy**: -90.02 eV per cell
**Space group**: P4_2/mnm (136)
**ΔH_f (0 K)**: -228 meV per atom
**Mass density**: 4.051 g/cm³

extended XYZ file:
```
16
Lattice="6.505 0.000 0.000 0.000 6.505 0.000 0.000 0.000 6.933" Properties=species:S:1:pos:R:3 pbc="T T T"
Al 0.000 3.253 0.000
Al 0.000 3.253 3.467
Al 1.065 1.065 1.706
Al 1.065 1.065 5.228
Al 2.187 4.318 1.761
Al 2.187 4.318 5.173
Al 3.253 0.000 0.000
Al 3.253 0.000 3.467
Al 4.318 2.187 1.761
Al 4.318 2.187 5.173
Al 5.440 5.440 1.706
Al 5.440 5.440 5.228
Tc 0.935 5.570 0.000
Tc 2.318 2.318 3.467
Tc 4.187 4.187 3.467
Tc 5.570 0.935 0.000
```


## Al5Tc2 (GGA-PBE)

Data for crystalline Al5Tc2 at its relaxed geometry.

Results
**VASP energy**: -82.35 eV per cell
**Space group**: C2/c (15)
**ΔH_f (0 K)**: -247 meV per atom
**Mass density**: 5.074 g/cm³

extended XYZ file:
```
14
Lattice="8.397 -2.278 0.000 8.397 2.278 0.000 -0.764 0.000 5.661" Properties=species:S:1:pos:R:3 pbc="T T T"
Al 1.788 0.379 3.357
Al 7.824 1.891 4.246
Al 2.170 -0.379 0.527
Al 4.443 0.360 4.267
Al 4.825 -0.360 1.437
Al 11.205 0.360 4.224
Al 11.587 -0.360 1.393
Al 13.859 0.379 5.134
Al 8.206 -1.891 1.415
Al 14.241 -0.379 2.304
Tc 7.186 0.398 0.413
Tc 9.226 0.398 2.418
Tc 6.803 -0.398 3.243
Tc 8.844 -0.398 5.248
```


## Al3Tc (GGA-PBE)

Data for crystalline Al3Tc at its relaxed geometry.

Results
**VASP energy**: -22.95 eV per cell
**Space group**: Immm (71)
**ΔH_f (0 K)**: -339 meV per atom
**Mass density**: 5.082 g/cm³

extended XYZ file:
```
4
Lattice="-1.675 2.095 4.165 1.675 -2.095 4.165 1.675 2.095 -4.165" Properties=species:S:1:pos:R:3 pbc="T T T"
Al 0.000 0.000 0.000
Al 1.675 0.000 2.129
Al 0.000 2.095 2.036
Tc 0.000 0.000 4.165
```


## Al3Tc5 (GGA-PBE)

Data for crystalline Al3Tc5 at its relaxed geometry.

Results
**VASP energy**: -130.22 eV per cell
**E above lowest polymorph**: 0 meV per atom
**Space group**: I4/mcm (140)
**ΔH_f (0 K)**: -257 meV per atom
**Mass density**: 8.234 g/cm³

extended XYZ file:
```
16
Lattice="-4.870 4.870 2.428 4.870 -4.870 2.428 4.870 4.870 -2.428" Properties=species:S:1:pos:R:3 pbc="T T T"
Al 6.588 1.718 0.000
Al 0.000 0.000 1.214
Al 1.718 3.151 0.000
Al 3.151 1.718 2.428
Al 0.000 0.000 3.642
Al -1.718 3.151 2.428
Tc 2.278 0.669 0.000
Tc 4.200 -2.591 2.428
Tc 4.870 0.000 1.214
Tc 4.200 2.591 0.000
Tc 2.278 -0.669 2.428
Tc 2.591 5.539 0.000
Tc 0.669 2.278 2.428
Tc 0.000 4.870 1.214
Tc 0.669 7.461 0.000
Tc 2.591 4.200 2.428
```


## AlTc3 (GGA-PBE)

Data for crystalline AlTc3 at its relaxed geometry.

Results
**VASP energy**: -35.56 eV per cell
**Space group**: P4/mmm (123)
**ΔH_f (0 K)**: -179 meV per atom
**Mass density**: 9.280 g/cm³

extended XYZ file:
```
4
Lattice="2.914 0.000 0.000 0.000 2.914 0.000 0.000 0.000 6.764" Properties=species:S:1:pos:R:3 pbc="T T T"
Al 0.000 0.000 0.000
Tc 0.000 0.000 3.382
Tc 1.457 1.457 1.668
Tc 1.457 1.457 5.096
```


## Al2Tc (GGA-PBE)

Data for crystalline Al2Tc at its relaxed geometry.

Results
**VASP energy**: -38.54 eV per cell
**E above lowest polymorph**: 0 meV per atom
**Space group**: Cmcm (63)
**ΔH_f (0 K)**: -473 meV per atom
**Mass density**: 5.804 g/cm³

extended XYZ file:
```
6
Lattice="1.658 -6.526 0.000 1.658 6.526 0.000 0.000 0.000 4.018" Properties=species:S:1:pos:R:3 pbc="T T T"
Al 1.658 5.659 3.013
Al 1.658 3.205 1.004
Al 1.658 -3.205 3.013
Al 1.658 -5.659 1.004
Tc 1.658 1.303 3.013
Tc 1.658 -1.303 1.004
```


## Al5Tc (GGA-PBE)

Data for crystalline Al5Tc at its relaxed geometry.

Results
**VASP energy**: -60.59 eV per cell
**E above lowest polymorph**: 88 meV per atom
**Space group**: Cmcm (63)
**ΔH_f (0 K)**: -202 meV per atom
**Mass density**: 3.821 g/cm³

extended XYZ file:
```
12
Lattice="1.650 -4.801 0.000 1.650 4.801 0.000 0.000 0.000 12.776" Properties=species:S:1:pos:R:3 pbc="T T T"
Al 1.650 4.195 7.802
Al 1.650 4.195 11.362
Al 1.650 2.760 0.977
Al 1.650 2.760 5.410
Al 1.650 1.180 9.582
Al 1.650 -1.180 3.194
Al 1.650 -2.760 7.365
Al 1.650 -2.760 11.798
Al 1.650 -4.195 1.414
Al 1.650 -4.195 4.974
Tc 1.650 1.504 3.194
Tc 1.650 -1.504 9.582
```


## Al3Tc (GGA-PBE)

Data for crystalline Al3Tc at its relaxed geometry.

Results
**VASP energy**: -22.42 eV per cell
**Space group**: Pm-3m (221)
**ΔH_f (0 K)**: -207 meV per atom
**Mass density**: 5.033 g/cm³

extended XYZ file:
```
4
Lattice="3.894 0.000 0.000 0.000 3.894 0.000 0.000 0.000 3.894" Properties=species:S:1:pos:R:3 pbc="T T T"
Al 0.000 0.000 1.947
Al 0.000 1.947 0.000
Al 1.947 0.000 0.000
Tc 1.947 1.947 1.947
```